This record from OQMD via LeMat-Bulk describes a geometry-optimized LuReNO structure. The functional is GGA-PBE.

The space group is P4/mmm (No. 123) and the conventional cell measures 3.3370, 3.3370 and 4.2408 Å, with angles of 90.00, 90.00 and 90.00 degrees. The inequivalent atoms are Lu at (0.0000, 0.0000, 0.0000), Re at (0.5000, 0.5000, 0.5000), N at (0.5000, 0.5000, 0.0000) and O at (0.0000, 0.0000, 0.5000).

The total magnetic moment is 0.021 μB per atom. As for the crystal system: tetragonal. The calculation puts the energy at -8.397 eV/atom.

This record from OQMD via LeMat-Bulk describes a geometry-optimized LuReNO structure. The functional is GGA-PBE.

The space group is Pmc2_1 (No. 26) and the conventional cell measures 3.1979, 5.5227 and 6.1781 Å, with angles of 90.00, 90.00 and 90.00 degrees. The inequivalent atoms are Lu at (0.0000, 0.1656, 0.0000), Re at (0.5000, 0.3247, 0.4495), N at (0.5000, 0.4041, 0.1591) and O at (0.0000, 0.1838, 0.6542).

The total magnetic moment is 0.000 μB per atom. As for the crystal system: orthorhombic. The calculation puts the energy at -8.603 eV/atom.